Entry from Alexandria via LeMat-Bulk: a geometry-optimized SrTe4Mo structure (GGA-PBEsol).

a b c (Å): 6.364 6.364 6.364
angles (deg): 60.00 60.00 60.00
Element x y z (fractional)
1 Sr 0.000 0.000 0.000
2 Te 0.376 0.376 0.376
3 Te 0.376 0.376 0.873
4 Te 0.376 0.873 0.376
5 Te 0.873 0.376 0.376
6 Mo 0.750 0.750 0.750

- electronic total energy (eV per atom) = -4.06
- DOS(E_F) (states/eV/f.u.) = 3.9
- raw formation energy (eV/atom) = 0.56